Here is a relaxed structure of TmNiB2 from Alexandria via LeMat-Bulk. Energies are from PBE.

Output
D(E_F) in states/eV/cell: 6.95
Crystal system: orthorhombic
Formation energy in eV per atom: -0.581
Density in g/cm3: 9.0

```
TmNiB2
1.0
-2.968 -1.853 -0.050
1.052 -1.828 5.338
-4.538 7.177 3.352
Ni B Tm
4 8 4
Cartesian
-3.275 0.125 6.135
-2.115 -1.629 2.220
-4.339 5.125 6.420
-3.178 3.371 2.506
-4.975 2.913 3.665
-2.202 1.841 1.243
-0.964 -0.198 3.386
-5.183 3.160 6.877
-1.271 0.336 1.764
-1.479 0.584 4.975
-5.489 3.695 5.254
-4.252 1.655 7.397
-4.542 5.526 3.596
-2.947 2.921 5.475
-1.912 -2.029 5.045
-3.507 0.575 3.165
```